Density functional theory data (GGA-PBE) for a relaxed Li4Ga3Hg4 crystal.

Structure (extended XYZ):
```
11
Lattice="3.0149 0.1170 -0.4154 -0.7863 8.1296 -3.4176 1.2437 -1.0004 8.8044" Properties=species:S:1:pos:R:3 pbc="T T T"
Ga -0.3932 4.0648 -1.7088
Ga 0.1419 0.5081 1.1758
Ga 3.3303 6.7381 3.7955
Li 1.5658 5.7536 1.8574
Li 1.3223 1.9726 -1.0120
Li 2.1499 5.2736 5.9834
Li 1.9064 1.4926 3.1139
Hg 0.7456 0.4758 5.5790
Hg 3.0432 3.4979 0.7686
Hg 2.7266 6.7704 -0.6077
Hg 0.4290 3.7483 4.2028
```

Properties
**ΔE_f**: -234 meV/atom
**D(E_F)**: 0.38 states/eV/atom
**Final energy**: -1.865 eV per atom